[1]
DFT (PBE-GGA) results for Tl5AsH4 after structural relaxation.

It has space group C2 (No. 5), with a = 12.326 Å, b = 5.485 Å, c = 8.722 Å, α = 90.00°, β = 134.82° and γ = 90.00°. The asymmetric unit holds Tl at (0.000, 0.000, 0.000), Tl at (0.129, 0.489, 0.458), Tl at (0.170, 0.989, 0.798), As at (0.000, 0.497, 0.000), H at (0.107, 0.612, 0.716) and H at (0.109, 0.111, 0.502).

The value obtained for the total energy is -26.5 eV per formula unit.

---

[2]
DFT (PBE-GGA) results for TlAs2H after structural relaxation.

It has space group I4_1/amd (No. 141, origin choice 2), with a = 5.959 Å, b = 5.959 Å, c = 9.434 Å, α = 90.00°, β = 90.00° and γ = 90.00°. The asymmetric unit holds Tl at (0.000, 0.250, 0.375), As at (0.000, 0.000, 0.000) and H at (0.000, 0.250, 0.875).

The value obtained for the total energy is -13.2 eV per formula unit. The value obtained for the offset from the most stable computed form is 227 meV per atom.